This record from the Alexandria database describes crystalline Ta3CoO at its relaxed geometry. The functional is PBE with a Hubbard U.

Summary:
ΔE to the lowest computed polymorph ... 0 meV/atom
Space-group type ... Pm-3m (221)

Unit cell a=4.172 b=4.172 c=4.172 alpha=90.00 beta=90.00 gamma=90.00
Positions (direct):
Ta  0.000  0.000  0.500
Ta  0.000  0.500  0.000
Ta  0.500  0.000  0.000
Co  0.500  0.500  0.500
O  0.000  0.000  0.000